A relaxed SrTl2FeF crystal. Source: Alexandria via LeMat-Bulk, functional PBE+U.

Its total energy is -16.5 eV for the cell shown. The value obtained for the total moment is 3.05 μB per formula unit.

Cell lengths 5.4085, 5.4085, 4.7470 Å; angles 90.00, 90.00, 90.00 degrees
Space group P4/mmm (No. 123)
One atom of each set of equivalent atoms:
Sr1 0.0000 0.0000 0.0000 (multiplicity 1)
Tl1 0.0000 0.5000 0.5000 (multiplicity 2)
Fe1 0.5000 0.5000 0.0000 (multiplicity 1)
F1 0.0000 0.0000 0.5000 (multiplicity 1)